No. 1
MgPI2O after structural relaxation. Source: the Alexandria database, functional GGA-PBE.

```
data_MgPI2O
_chemical_formula_sum 'Mg1 P1 I2 O1'
_space_group_name_H-M_alt 'P 4/m m m'
_space_group_IT_number 123
_space_group_name_Hall '-P 4 2'
_cell_length_a 5.679
_cell_length_b 5.679
_cell_length_c 3.735
_cell_angle_alpha 90.00
_cell_angle_beta 90.00
_cell_angle_gamma 90.00
loop_
_atom_site_label
_atom_site_type_symbol
_atom_site_fract_x
_atom_site_fract_y
_atom_site_fract_z
Mg1 Mg 0.000 0.000 0.000
P1 P 0.500 0.500 0.500
I1 I 0.000 0.500 0.000
O1 O 0.000 0.000 0.500
```

Energy relative to the lowest polymorph listed for this composition in eV/f.u.: 1.25
Uncorrected formation energy in kJ per mole of atoms: -2.12
Energy in eV per cell: -15.17

No. 2
MgPb2IO6 after structural relaxation. Source: the Alexandria database, functional GGA-PBE.

```
data_MgPb2IO6
_chemical_formula_sum 'Mg2 Pb4 I2 O12'
_space_group_name_H-M_alt 'P 1 21/c 1'
_space_group_IT_number 14
_cell_length_a 5.828
_cell_length_b 5.776
_cell_length_c 10.013
_cell_angle_alpha 90.00
_cell_angle_beta 125.33
_cell_angle_gamma 90.00
loop_
_space_group_symop_operation_xyz
'x,y,z'
'-x,-y,-z'
'-x,y+1/2,-z+1/2'
'x,-y+1/2,z+1/2'
loop_
_atom_site_label
_atom_site_type_symbol
_atom_site_fract_x
_atom_site_fract_y
_atom_site_fract_z
Mg1 Mg 0.000 0.000 0.000
Pb1 Pb 0.262 0.008 0.754
I1 I 0.500 0.000 0.500
O1 O 0.202 0.002 0.257
O2 O 0.280 0.734 0.034
O3 O 0.305 0.238 0.031
```

Uncorrected formation energy in kJ per mole of atoms: -103.09
Energy in eV per cell: -101.99

No. 3
MgPbI2O after structural relaxation. Source: the Alexandria database, functional GGA-PBE.

```
data_MgPbI2O
_chemical_formula_sum 'Mg1 Pb1 I2 O1'
_space_group_name_H-M_alt 'P 4/m m m'
_space_group_IT_number 123
_space_group_name_Hall '-P 4 2'
_cell_length_a 6.345
_cell_length_b 6.345
_cell_length_c 4.240
_cell_angle_alpha 90.00
_cell_angle_beta 90.00
_cell_angle_gamma 90.00
loop_
_atom_site_label
_atom_site_type_symbol
_atom_site_fract_x
_atom_site_fract_y
_atom_site_fract_z
Mg1 Mg 0.000 0.000 0.000
Pb1 Pb 0.500 0.500 0.500
I1 I 0.000 0.500 0.500
O1 O 0.500 0.500 0.000
```

Energy relative to the lowest polymorph listed for this composition in eV/f.u.: 2.48
Uncorrected formation energy in kJ per mole of atoms: -25.34
Energy in eV per cell: -14.67

No. 4
MgPbI2O after structural relaxation. Source: the Alexandria database, functional GGA-PBE.

```
data_MgPbI2O
_chemical_formula_sum 'Mg1 Pb1 I2 O1'
_space_group_name_H-M_alt 'P 4/m m m'
_space_group_IT_number 123
_space_group_name_Hall '-P 4 2'
_cell_length_a 5.844
_cell_length_b 5.844
_cell_length_c 3.964
_cell_angle_alpha 90.00
_cell_angle_beta 90.00
_cell_angle_gamma 90.00
loop_
_atom_site_label
_atom_site_type_symbol
_atom_site_fract_x
_atom_site_fract_y
_atom_site_fract_z
Mg1 Mg 0.000 0.000 0.000
Pb1 Pb 0.500 0.500 0.500
I1 I 0.000 0.500 0.000
O1 O 0.000 0.000 0.500
```

Energy relative to the lowest polymorph listed for this composition in eV/f.u.: 0.00
Uncorrected formation energy in kJ per mole of atoms: -73.29
Energy in eV per cell: -17.16

No. 5
MgPbI2O8 after structural relaxation. Source: the Alexandria database, functional GGA-PBE.

```
data_MgPbI2O8
_chemical_formula_sum 'Mg3 Pb3 I6 O24'
_space_group_name_H-M_alt 'R 3 2'
_space_group_IT_number 155
_space_group_name_Hall 'R 3 2"'
_cell_length_a 5.2823
_cell_length_b 5.2823
_cell_length_c 22.4353
_cell_angle_alpha 90.00
_cell_angle_beta 90.00
_cell_angle_gamma 120.00
loop_
_atom_site_label
_atom_site_type_symbol
_atom_site_fract_x
_atom_site_fract_y
_atom_site_fract_z
Mg1 Mg 0.0000 0.0000 0.0000
Pb1 Pb 0.0000 0.0000 0.5000
I1 I 0.0000 0.0000 0.2638
O1 O 0.0000 0.0000 0.1829
O2 O 0.0156 0.3670 0.7295
```

Uncorrected formation energy in kJ per mole of atoms: -57.07
Energy in eV per cell: -165.50

No. 6
MgPdI2O after structural relaxation. Source: the Alexandria database, functional GGA-PBE.

```
data_MgPdI2O
_chemical_formula_sum 'Mg1 Pd1 I2 O1'
_space_group_name_H-M_alt 'P 4/m m m'
_space_group_IT_number 123
_space_group_name_Hall '-P 4 2'
_cell_length_a 5.767
_cell_length_b 5.767
_cell_length_c 3.650
_cell_angle_alpha 90.00
_cell_angle_beta 90.00
_cell_angle_gamma 90.00
loop_
_atom_site_label
_atom_site_type_symbol
_atom_site_fract_x
_atom_site_fract_y
_atom_site_fract_z
Mg1 Mg 0.000 0.000 0.000
Pd1 Pd 0.500 0.500 0.500
I1 I 0.000 0.500 0.000
O1 O 0.000 0.000 0.500
```

Energy relative to the lowest polymorph listed for this composition in eV/f.u.: 0.00
Uncorrected formation energy in kJ per mole of atoms: -24.83
Energy in eV per cell: -16.13

No. 7
MgPdI2O after structural relaxation. Source: the Alexandria database, functional GGA-PBE.

```
data_MgPdI2O
_chemical_formula_sum 'Mg1 Pd1 I2 O1'
_space_group_name_H-M_alt 'P 4/m m m'
_space_group_IT_number 123
_space_group_name_Hall '-P 4 2'
_cell_length_a 5.633
_cell_length_b 5.633
_cell_length_c 3.928
_cell_angle_alpha 90.00
_cell_angle_beta 90.00
_cell_angle_gamma 90.00
loop_
_atom_site_label
_atom_site_type_symbol
_atom_site_fract_x
_atom_site_fract_y
_atom_site_fract_z
Mg1 Mg 0.000 0.000 0.000
Pd1 Pd 0.500 0.500 0.500
I1 I 0.000 0.500 0.500
O1 O 0.500 0.500 0.000
```

Energy relative to the lowest polymorph listed for this composition in eV/f.u.: 0.42
Uncorrected formation energy in kJ per mole of atoms: -16.80
Energy in eV per cell: -15.72

No. 8
MgPdIO6 after structural relaxation. Source: the Alexandria database, functional GGA-PBE.

```
data_MgPdIO6
_chemical_formula_sum 'Mg2 Pd2 I2 O12'
_space_group_name_H-M_alt 'P -3 1 c'
_space_group_IT_number 163
_space_group_name_Hall '-P 3 2c'
_cell_length_a 5.2254
_cell_length_b 5.2254
_cell_length_c 9.0879
_cell_angle_alpha 90.00
_cell_angle_beta 90.00
_cell_angle_gamma 120.00
loop_
_atom_site_label
_atom_site_type_symbol
_atom_site_fract_x
_atom_site_fract_y
_atom_site_fract_z
Mg1 Mg 0.0000 0.0000 0.0000
Pd1 Pd 0.3333 0.6667 0.2500
I1 I 0.3333 0.6667 0.7500
O1 O 0.0266 0.3642 0.6313
```

Uncorrected formation energy in kJ per mole of atoms: -74.52
Energy in eV per cell: -90.08

No. 9
PmMgIO6 after structural relaxation. Source: the Alexandria database, functional GGA-PBE.

```
data_PmMgIO6
_chemical_formula_sum 'Pm1 Mg1 I1 O6'
_space_group_name_H-M_alt 'P 3 1 2'
_space_group_IT_number 149
_cell_length_a 5.2527
_cell_length_b 5.2527
_cell_length_c 5.0186
_cell_angle_alpha 90.00
_cell_angle_beta 90.00
_cell_angle_gamma 120.00
loop_
_space_group_symop_operation_xyz
'x,y,z'
'-y,x-y,z'
'-x+y,-x,z'
'-y,-x,-z'
'-x+y,y,-z'
'x,x-y,-z'
loop_
_atom_site_label
_atom_site_type_symbol
_atom_site_fract_x
_atom_site_fract_y
_atom_site_fract_z
Pm1 Pm 0.0000 0.0000 0.0000
Mg1 Mg 0.3333 0.6667 0.5000
I1 I 0.6667 0.3333 0.5000
O1 O 0.3771 0.0266 0.7149
```

Uncorrected formation energy in kJ per mole of atoms: -175.56
Energy in eV per cell: -54.02

No. 10
MgPtIO2 after structural relaxation. Source: the Alexandria database, functional GGA-PBE.

```
data_MgPtIO2
_chemical_formula_sum 'Mg1 Pt1 I1 O2'
_space_group_name_H-M_alt 'P 4/m m m'
_space_group_IT_number 123
_space_group_name_Hall '-P 4 2'
_cell_length_a 4.071
_cell_length_b 4.071
_cell_length_c 5.557
_cell_angle_alpha 90.00
_cell_angle_beta 90.00
_cell_angle_gamma 90.00
loop_
_atom_site_label
_atom_site_type_symbol
_atom_site_fract_x
_atom_site_fract_y
_atom_site_fract_z
Mg1 Mg 0.000 0.000 0.000
Pt1 Pt 0.500 0.500 0.500
I1 I 0.500 0.500 0.000
O1 O 0.000 0.500 0.500
```

Energy relative to the lowest polymorph listed for this composition in eV/f.u.: 0.24
Uncorrected formation energy in kJ per mole of atoms: -9.08
Energy in eV per cell: -19.57

No. 11
MgPtIO2 after structural relaxation. Source: the Alexandria database, functional GGA-PBE.

```
data_MgPtIO2
_chemical_formula_sum 'Mg1 Pt1 I1 O2'
_space_group_name_H-M_alt 'P 4/m m m'
_space_group_IT_number 123
_space_group_name_Hall '-P 4 2'
_cell_length_a 3.841
_cell_length_b 3.841
_cell_length_c 7.357
_cell_angle_alpha 90.00
_cell_angle_beta 90.00
_cell_angle_gamma 90.00
loop_
_atom_site_label
_atom_site_type_symbol
_atom_site_fract_x
_atom_site_fract_y
_atom_site_fract_z
Mg1 Mg 0.000 0.000 0.000
Pt1 Pt 0.500 0.500 0.500
I1 I 0.000 0.000 0.500
O1 O 0.000 0.500 0.000
```

Energy relative to the lowest polymorph listed for this composition in eV/f.u.: 0.00
Uncorrected formation energy in kJ per mole of atoms: -13.68
Energy in eV per cell: -19.81

No. 12
MgPtI2O after structural relaxation. Source: the Alexandria database, functional GGA-PBE.

```
data_MgPtI2O
_chemical_formula_sum 'Mg1 Pt1 I2 O1'
_space_group_name_H-M_alt 'P 4/m m m'
_space_group_IT_number 123
_space_group_name_Hall '-P 4 2'
_cell_length_a 5.702
_cell_length_b 5.702
_cell_length_c 3.870
_cell_angle_alpha 90.00
_cell_angle_beta 90.00
_cell_angle_gamma 90.00
loop_
_atom_site_label
_atom_site_type_symbol
_atom_site_fract_x
_atom_site_fract_y
_atom_site_fract_z
Mg1 Mg 0.000 0.000 0.000
Pt1 Pt 0.500 0.500 0.500
I1 I 0.000 0.500 0.500
O1 O 0.500 0.500 0.000
```

Energy relative to the lowest polymorph listed for this composition in eV/f.u.: 0.00
Uncorrected formation energy in kJ per mole of atoms: -14.53
Energy in eV per cell: -16.45

> Which of these has the highest uncorrected formation energy?

MgPI2O